1:
NaSr2HPd: optimized geometry, PBE-GGA.

Unit cell a=5.5957 b=5.5957 c=4.0351 alpha=90.00 beta=90.00 gamma=90.00
Fractional coordinates of all 5 atoms:
Sr: 0.0000 0.5000 0.0000
Sr: 0.5000 0.0000 0.0000
H: 0.0000 0.0000 0.0000
Pd: 0.0000 0.0000 0.5000
Na: 0.5000 0.5000 0.5000

total magnetic moment = 0.00 μB/cell
crystal system = tetragonal
space-group type = P4/mmm, No. 123

***

2:
NaSr2HPd: optimized geometry, PBE-GGA.

Unit cell a=5.2508 b=5.2508 c=4.4174 alpha=90.00 beta=90.00 gamma=90.00
Fractional coordinates of all 5 atoms:
Sr: 0.0000 0.5000 0.0000
Sr: 0.5000 0.0000 0.0000
H: 0.0000 0.0000 0.0000
Pd: 0.5000 0.5000 0.5000
Na: 0.0000 0.0000 0.5000

total magnetic moment = 0.00 μB/cell
crystal system = tetragonal
space-group type = P4/mmm, No. 123

***

On energetic grounds, 2 is preferred over the next structure by 62 meV per atom.

***

1:
NaTl2HPd: optimized geometry, PBE-GGA.

Unit cell a=5.7110 b=5.7110 c=3.3990 alpha=90.00 beta=90.00 gamma=90.00
Fractional coordinates of all 5 atoms:
Na: 0.5000 0.5000 0.5000
Tl: 0.0000 0.5000 0.0000
Tl: 0.5000 0.0000 0.0000
Pd: 0.0000 0.0000 0.0000
H: 0.0000 0.0000 0.5000

total magnetic moment = 0.00 μB/cell
crystal system = tetragonal
space-group type = P4/mmm, No. 123

***

2:
NaTl2HPd: optimized geometry, PBE-GGA.

Unit cell a=5.3783 b=5.3783 c=3.5090 alpha=90.00 beta=90.00 gamma=90.00
Fractional coordinates of all 5 atoms:
Na: 0.5000 0.5000 0.5000
Tl: 0.0000 0.5000 0.0000
Tl: 0.5000 0.0000 0.0000
Pd: 0.0000 0.0000 0.5000
H: 0.0000 0.0000 0.0000

total magnetic moment = 0.00 μB/cell
crystal system = tetragonal
space-group type = P4/mmm, No. 123

***

On energetic grounds, 2 is preferred over the next structure by 30 meV per atom.

***

1:
NaY2HPd: optimized geometry, PBE-GGA.

Unit cell a=4.8711 b=4.8711 c=4.1510 alpha=90.00 beta=90.00 gamma=90.00
Site moments in Bohr magnetons follow the coordinates.
Fractional coordinates of all 5 atoms:
Y: 0.0000 0.5000 0.0000  0.08
Y: 0.5000 0.0000 0.0000  0.08
Na: 0.0000 0.0000 0.5000  0.00
Pd: 0.5000 0.5000 0.5000  0.01
H: 0.0000 0.0000 0.0000  0.00

total magnetic moment = 0.28 μB/cell
crystal system = tetragonal
space-group type = P4/mmm, No. 123

***

2:
NaY2HPd: optimized geometry, PBE-GGA.

Unit cell a=5.1263 b=5.1263 c=3.8461 alpha=90.00 beta=90.00 gamma=90.00
Fractional coordinates of all 5 atoms:
Y: 0.0000 0.5000 0.0000
Y: 0.5000 0.0000 0.0000
Na: 0.5000 0.5000 0.5000
Pd: 0.0000 0.0000 0.5000
H: 0.0000 0.0000 0.0000

total magnetic moment = 0.00 μB/cell
crystal system = tetragonal
space-group type = P4/mmm, No. 123

***

On energetic grounds, 1 is preferred over the next structure by 67 meV per atom.